Record 1
Here is crystalline Sr2LiTi2 at its relaxed geometry from the Alexandria database. Energies are from PBEsol. Values from VASP.

Calculated values
Calculated formation energy (eV/atom): 0.475
DOS at the Fermi energy (states/eV per cell): 11.1

Structure (Quantum ESPRESSO input):
```
&SYSTEM
  ibrav = 0, nat = 10, ntyp = 3
/
ATOMIC_SPECIES
Sr 87.62 Sr.upf
Li 6.94 Li.upf
Ti 47.87 Ti.upf
ATOMIC_POSITIONS angstrom
Sr 0.000 0.000 2.471
Sr 0.000 0.000 19.410
Sr 1.843 1.843 8.469
Sr 1.843 1.843 13.411
Li 0.000 0.000 10.940
Li 1.843 1.843 0.000
Ti 0.000 1.843 5.470
Ti 0.000 1.843 16.410
Ti 1.843 0.000 5.470
Ti 1.843 0.000 16.410
CELL_PARAMETERS angstrom
3.686 0.000 0.000
0.000 3.686 0.000
0.000 0.000 21.880
```



Record 2
Here is crystalline SrLiTl2 at its relaxed geometry from the Alexandria database. Energies are from PBEsol. Values from VASP.

Calculated values
Calculated formation energy (eV/atom): -0.320
DOS at the Fermi energy (states/eV per cell): 5.2

Structure (Quantum ESPRESSO input):
```
&SYSTEM
  ibrav = 0, nat = 12, ntyp = 3
/
ATOMIC_SPECIES
Sr 87.62 Sr.upf
Li 6.94 Li.upf
Tl 204.38 Tl.upf
ATOMIC_POSITIONS angstrom
Sr 0.000 0.000 0.000
Sr 0.000 2.760 11.389
Sr 2.390 1.380 5.695
Li 0.000 0.000 3.316
Li 0.000 2.760 14.705
Li 2.390 1.380 9.010
Tl 0.000 0.000 9.198
Tl 0.000 0.000 13.423
Tl 0.000 2.760 3.503
Tl 0.000 2.760 7.728
Tl 2.390 1.380 2.034
Tl 2.390 1.380 14.892
CELL_PARAMETERS angstrom
4.780 0.000 0.000
-2.390 4.140 0.000
0.000 0.000 17.084
```



Record 3
Here is crystalline Sr2Li2Tl at its relaxed geometry from the Alexandria database. Energies are from PBEsol. Values from VASP.

Calculated values
Calculated formation energy (eV/atom): -0.126
DOS at the Fermi energy (states/eV per cell): 7.1

Structure (Quantum ESPRESSO input):
```
&SYSTEM
  ibrav = 0, nat = 10, ntyp = 3
/
ATOMIC_SPECIES
Sr 87.62 Sr.upf
Li 6.94 Li.upf
Tl 204.38 Tl.upf
ATOMIC_POSITIONS angstrom
Sr 1.528 2.467 0.000
Sr 2.467 6.463 0.000
Sr 5.524 1.528 0.000
Sr 6.463 5.524 0.000
Li 0.984 4.980 2.368
Li 3.012 0.984 2.368
Li 4.980 7.007 2.368
Li 7.007 3.012 2.368
Tl 0.000 0.000 2.368
Tl 3.996 3.996 2.368
CELL_PARAMETERS angstrom
7.991 0.000 0.000
0.000 7.991 0.000
0.000 0.000 4.736
```



DOS at the Fermi energy of number 2 (SrLiTl2)? 5.2 states/eV per cell



What is the DOS at the Fermi energy in the second record? 5.2 states/eV per cell



What did the third record say?
Here is crystalline Sr2Li2Tl at its relaxed geometry from the Alexandria database. Energies are from PBEsol. Values from VASP.

Calculated values
Calculated formation energy (eV/atom): -0.126
DOS at the Fermi energy (states/eV per cell): 7.1

Structure (Quantum ESPRESSO input):
```
&SYSTEM
  ibrav = 0, nat = 10, ntyp = 3
/
ATOMIC_SPECIES
Sr 87.62 Sr.upf
Li 6.94 Li.upf
Tl 204.38 Tl.upf
ATOMIC_POSITIONS angstrom
Sr 1.528 2.467 0.000
Sr 2.467 6.463 0.000
Sr 5.524 1.528 0.000
Sr 6.463 5.524 0.000
Li 0.984 4.980 2.368
Li 3.012 0.984 2.368
Li 4.980 7.007 2.368
Li 7.007 3.012 2.368
Tl 0.000 0.000 2.368
Tl 3.996 3.996 2.368
CELL_PARAMETERS angstrom
7.991 0.000 0.000
0.000 7.991 0.000
0.000 0.000 4.736
```